The following is a GGA-PBE calculation of K3YTh2Te6 after structural relaxation, from Alexandria. Values from VASP.

Computed properties:
For the uncorrected formation energy, the calculation gives -14.95 eV/f.u. Its total energy is -4.87 eV per atom.

```
&SYSTEM
  ibrav = 0, nat = 12, ntyp = 4
/
ATOMIC_SPECIES
K 39.10 K.upf
Y 88.91 Y.upf
Th 232.04 Th.upf
Te 127.60 Te.upf
CELL_PARAMETERS angstrom
7.756 -0.001 0.000
-3.877 6.718 0.000
-1.294 -2.240 8.413
ATOMIC_POSITIONS angstrom
K -2.564 4.467 4.207
K 5.151 0.011 4.207
K 1.293 2.239 4.207
Y 0.000 0.000 0.000
Th 0.006 4.476 0.000
Th 3.874 2.242 0.000
Te 3.862 2.269 6.590
Te 2.605 4.511 1.831
Te -1.276 2.209 1.823
Te 0.035 4.479 6.590
Te -0.019 -0.033 6.582
Te 2.551 -0.002 1.823
```